DFT (PBE) results for a relaxed structure of YHoPu.

Lattice parameters (Å, degrees): 3.3711 5.5627 9.6648 90.00 90.00 90.00
Closest atoms and distances in Å follow each position.
Space group Pmmn (No. 59, origin choice 2)
Inequivalent atoms, fractional coordinates:
1 Y 0.2500 0.2500 0.1009 x2  5 Pu 3.36-3.55, 2 Y 3.37, 2 Ho 3.65
2 Ho 0.2500 0.7500 0.5645 x2  4 Pu 3.32-3.50, 6 Ho 3.37-3.48, 2 Y 3.65
3 Pu 0.2500 0.2500 0.7527 x2  4 Ho 3.32-3.50, 5 Y 3.36-3.55, 2 Pu 3.37

E above lowest polymorph ... 0.050 eV/atom
Energy of formation ... 15.9 kJ/mol of atoms
Calculated volume ... 181.24 Å³ per cell



DFT (PBE) results for a relaxed structure of Sm4Zn2Ge.

Lattice parameters (Å, degrees): 5.0864 5.0864 24.8885 90.00 90.00 120.00
Closest atoms and distances in Å follow each position.
Space group R-3m (No. 166, hexagonal axes)
Inequivalent atoms, fractional coordinates:
1 Sm 0.0000 0.0000 0.1221 x6  4 Zn 3.11-3.24, 3 Ge 3.14
2 Sm 0.0000 0.0000 0.3740 x6  4 Zn 3.03-3.10, 1 Ge 3.14
3 Zn 0.0000 0.0000 0.2523 x6  8 Sm 3.03-3.24
4 Ge 0.0000 0.0000 0.5000 x3  8 Sm 3.14

Energy of formation ... -27.8 kJ/mol of atoms
Calculated volume ... 557.64 Å³ per cell